Computed, not measured: a geometry-optimized Na4Tb3SnO8 structure at the PBE level of DFT.

Values from the calculation:
**Density of states at the Fermi level**: 0.09 states/eV per atom
**V**: 14.36 A^3/atom
**Density**: 5.90 g/cm³
**Formation energy without anion corrections**: -2419 meV per atom

Lattice parameters (Å, degrees): 6.874 6.873 6.875 120.00 120.00 90.00
Fractional positions:
1 Na 0.500 0.000 0.000
2 Na 0.500 0.000 0.500
3 Na 0.000 0.000 0.000
4 Na 0.000 0.000 0.500
5 Tb 0.500 0.500 0.000
6 Tb 0.500 0.500 0.500
7 Tb 0.000 0.500 0.500
8 Sn 0.000 0.500 0.000
9 O 0.237 0.714 0.976
10 O 0.237 0.714 0.475
11 O 0.263 0.290 0.527
12 O 0.739 0.714 0.976
13 O 0.261 0.286 0.024
14 O 0.737 0.710 0.473
15 O 0.763 0.286 0.525
16 O 0.763 0.286 0.024

=====

Computed, not measured: a geometry-optimized BaFe4 structure at the PBE level of DFT.

Values from the calculation:
**Density of states at the Fermi level**: 2.15 states/eV per atom
**V**: 22.60 A^3/atom
**VASP energy**: -22.8 eV/cell
**Density**: 5.30 g/cm³

Lattice parameters (Å, degrees): 4.834 4.834 4.834 90.00 90.00 90.00
Last column: magnetic moment on the atom in μB.
Fractional positions:
1 Ba 0.500 0.500 0.500  -0.23
2 Fe 0.000 0.000 0.000  3.27
3 Fe 0.500 0.000 0.500  2.46
4 Fe 0.000 0.500 0.500  2.46
5 Fe 0.500 0.500 0.000  2.46

=====

Computed, not measured: a geometry-optimized LiC5 structure at the PBE level of DFT.

Values from the calculation:
**Density of states at the Fermi level**: 0.21 states/eV per atom
**V**: 7.36 A^3/atom
**Density**: 2.52 g/cm³
**Energy above the most stable polymorph in this dataset**: 0.4952 eV per atom

Lattice parameters (Å, degrees): 6.986 6.986 2.480 90.00 90.00 158.59
Fractional positions:
1 Li 0.995 0.005 0.000
2 C 0.303 0.697 0.500
3 C 0.365 0.635 0.000
4 C 0.603 0.397 0.500
5 C 0.660 0.340 0.000
6 C 0.740 0.260 0.500

=====

Computed, not measured: a geometry-optimized HfInFe3 structure at the PBE level of DFT.

Values from the calculation:
**Density of states at the Fermi level**: 1.31 states/eV per atom
**V**: 19.70 A^3/atom
**Density**: 7.77 g/cm³
**Energy above the most stable polymorph in this dataset**: 0.0000 eV per atom

Lattice parameters (Å, degrees): 4.618 4.618 4.618 90.00 90.00 90.00
Last column: magnetic moment on the atom in μB.
Fractional positions:
1 Hf 0.000 0.000 0.000  -0.55
2 Fe 0.000 0.500 0.000  2.12
3 Fe 0.000 0.000 0.500  2.19
4 Fe 0.500 0.000 0.000  2.00
5 In 0.500 0.500 0.500  -0.04

=====

Computed, not measured: a geometry-optimized CsV3Te structure at the PBE level of DFT.

Values from the calculation:
**Density of states at the Fermi level**: 1.56 states/eV per atom
**V**: 32.35 A^3/atom
**Density**: 4.24 g/cm³
**Formation energy without anion corrections**: 1280 meV per atom
**Energy above the most stable polymorph in this dataset**: 0.0000 eV per atom

Lattice parameters (Å, degrees): 5.449 5.449 5.449 90.00 90.00 90.00
Last column: magnetic moment on the atom in μB.
Fractional positions:
1 Cs 0.500 0.500 0.500  0.14
2 Te 0.000 0.000 0.000  -0.08
3 V 0.000 0.500 0.000  3.09
4 V 0.000 0.000 0.500  3.09
5 V 0.500 0.000 0.000  3.09

=====

Computed, not measured: a geometry-optimized LiPr2Te6Pb3 structure at the PBE level of DFT.

Values from the calculation:
**Density of states at the Fermi level**: 0.38 states/eV per atom
**V**: 33.92 A^3/atom
**Density**: 6.84 g/cm³
**Formation energy without anion corrections**: -816 meV per atom

Lattice parameters (Å, degrees): 4.530 9.246 10.299 104.33 102.70 90.00
Fractional positions:
1 Li 0.500 0.000 0.000
2 Pr 0.835 0.660 0.670
3 Pr 0.165 0.340 0.330
4 Te 0.333 0.907 0.666
5 Te 0.669 0.590 0.338
6 Te 0.667 0.093 0.334
7 Te 0.002 0.239 0.005
8 Te 0.998 0.761 0.995
9 Te 0.331 0.410 0.662
10 Pb 0.500 0.500 0.000
11 Pb 0.839 0.153 0.678
12 Pb 0.161 0.847 0.322

=====

Computed, not measured: a geometry-optimized Si2Ru2Se structure at the PBE level of DFT.

Values from the calculation:
**Density of states at the Fermi level**: 0.57 states/eV per atom
**V**: 14.56 A^3/atom
**Density**: 7.70 g/cm³
**Formation energy without anion corrections**: -261 meV per atom
**Energy above the most stable polymorph in this dataset**: 0.0000 eV per atom

Lattice parameters (Å, degrees): 7.135 7.135 2.859 90.00 90.00 90.00
Fractional positions:
1 Ru 0.347 0.847 0.000
2 Ru 0.847 0.653 0.000
3 Ru 0.653 0.153 0.000
4 Ru 0.153 0.347 0.000
5 Si 0.137 0.637 0.500
6 Si 0.637 0.863 0.500
7 Si 0.863 0.363 0.500
8 Si 0.363 0.137 0.500
9 Se 0.000 0.000 0.000
10 Se 0.500 0.500 0.000

=====

Computed, not measured: a geometry-optimized LiPuAlFe structure at the PBE level of DFT.

Values from the calculation:
**Density of states at the Fermi level**: 2.46 states/eV per atom
**V**: 16.37 A^3/atom
**VASP energy**: -28.3 eV/cell
**Density**: 8.46 g/cm³

Lattice parameters (Å, degrees): 4.524 4.524 4.524 60.00 60.00 60.00
Last column: magnetic moment on the atom in μB.
Fractional positions:
1 Al 0.750 0.750 0.750  -0.01
2 Li 0.500 0.500 0.500  0.06
3 Fe 0.000 0.000 0.000  -1.94
4 Pu 0.250 0.250 0.250  5.01

=====

Computed, not measured: a geometry-optimized Zn2CoPt structure at the PBE level of DFT.

Values from the calculation:
**Density of states at the Fermi level**: 1.36 states/eV per atom
**V**: 14.91 A^3/atom
**VASP energy**: -30.3 eV/cell
**Density**: 10.71 g/cm³

Lattice parameters (Å, degrees): 6.796 6.796 5.456 51.47 51.47 90.00
Last column: magnetic moment on the atom in μB.
Fractional positions:
1 Zn 0.614 0.125 0.250  -0.03
2 Zn 0.136 0.625 0.250  -0.03
3 Zn 0.375 0.386 0.750  -0.03
4 Zn 0.875 0.864 0.750  -0.03
5 Co 0.500 0.500 0.000  1.49
6 Co 0.250 0.750 0.500  1.49
7 Pt 0.000 0.000 0.000  0.06
8 Pt 0.750 0.250 0.500  0.06

=====

Computed, not measured: a geometry-optimized Cu2PPb structure at the PBE level of DFT.

Values from the calculation:
**Density of states at the Fermi level**: 0.39 states/eV per atom
**V**: 19.61 A^3/atom
**VASP energy**: -16.7 eV/cell
**Density**: 7.73 g/cm³

Lattice parameters (Å, degrees): 3.882 4.926 4.103 89.85 90.00 90.00
Fractional positions:
1 Cu 0.000 0.000 0.246
2 Cu 0.000 0.500 0.254
3 P 0.500 0.250 0.250
4 Pb 0.500 0.750 0.750

=====

Computed, not measured: a geometry-optimized Cu structure at the PBE level of DFT.

Values from the calculation:
**Density of states at the Fermi level**: 0.43 states/eV per atom
**V**: 11.92 A^3/atom
**Density**: 8.85 g/cm³
**Energy above the most stable polymorph in this dataset**: 0.0011 eV per atom

Lattice parameters (Å, degrees): 2.565 4.427 8.398 90.00 90.00 90.00
Fractional positions:
1 Cu 0.000 0.166 0.250
2 Cu 0.000 0.834 0.750
3 Cu 0.500 0.666 0.250
4 Cu 0.500 0.334 0.750
5 Cu 0.000 0.500 0.000
6 Cu 0.000 0.500 0.500
7 Cu 0.500 0.000 0.000
8 Cu 0.500 0.000 0.500

=====

Computed, not measured: a geometry-optimized K2LaTl structure at the PBE level of DFT.

Values from the calculation:
**Density of states at the Fermi level**: 1.16 states/eV per atom
**V**: 40.58 A^3/atom
**Density**: 4.31 g/cm³
**Energy above the most stable polymorph in this dataset**: 0.1782 eV per atom

Lattice parameters (Å, degrees): 7.493 7.493 7.493 141.43 141.43 55.69
Last column: magnetic moment on the atom in μB.
Fractional positions:
1 K 0.000 0.000 0.000  0.02
2 K 0.500 0.500 0.000  0.02
3 La 0.250 0.750 0.500  0.40
4 Tl 0.750 0.250 0.500  0.09